1.
Density functional theory data (PBE) for a relaxed structure of ZnCd2Ni.

Output
**Electronic total energy**: -2.168 eV/atom
**DOS(E_F)**: 0.237 states/eV per atom
**Energy of formation from the pure elements**: 0.0533 eV per atom
**Crystal system**: tetragonal

Geometry as CIF:
```
data_ZnCd2Ni
_chemical_formula_sum 'Zn2 Cd4 Ni2'
_space_group_name_H-M_alt 'I -4 m 2'
_space_group_IT_number 119
_space_group_name_Hall 'I -4 -2'
_cell_length_a 3.9787
_cell_length_b 3.9787
_cell_length_c 8.4287
_cell_angle_alpha 90.00
_cell_angle_beta 90.00
_cell_angle_gamma 90.00
loop_
_atom_site_label
_atom_site_type_symbol
_atom_site_fract_x
_atom_site_fract_y
_atom_site_fract_z
Zn1 Zn 0.0000 0.0000 0.0000
Cd1 Cd 0.0000 0.0000 0.5000
Cd2 Cd 0.0000 0.5000 0.2500
Ni1 Ni 0.0000 0.5000 0.7500
```

---

2.
Density functional theory data (PBE) for a relaxed structure of SrY2AsPb.

Output
**Electronic total energy**: -3.224 eV/atom
**DOS(E_F)**: 1.683 states/eV per atom
**Energy of formation from the pure elements**: 1.3694 eV per atom
**Crystal system**: tetragonal

Geometry as CIF:
```
data_SrY2AsPb
_chemical_formula_sum 'Sr1 Y2 As1 Pb1'
_space_group_name_H-M_alt 'P 4/m m m'
_space_group_IT_number 123
_space_group_name_Hall '-P 4 2'
_cell_length_a 6.4605
_cell_length_b 6.4605
_cell_length_c 6.1663
_cell_angle_alpha 90.00
_cell_angle_beta 90.00
_cell_angle_gamma 90.00
loop_
_atom_site_label
_atom_site_type_symbol
_atom_site_fract_x
_atom_site_fract_y
_atom_site_fract_z
Sr1 Sr 0.0000 0.0000 0.0000
Y1 Y 0.0000 0.5000 0.0000
As1 As 0.5000 0.5000 0.5000
Pb1 Pb 0.0000 0.0000 0.5000
```

---

3.
Density functional theory data (PBE) for a relaxed structure of TaHg2RhBr.

Output
**Electronic total energy**: -3.089 eV/atom
**DOS(E_F)**: 1.281 states/eV per atom
**Crystal system**: tetragonal

Geometry as CIF:
```
data_TaHg2RhBr
_chemical_formula_sum 'Ta1 Hg2 Rh1 Br1'
_space_group_name_H-M_alt 'P 4/m m m'
_space_group_IT_number 123
_space_group_name_Hall '-P 4 2'
_cell_length_a 5.2167
_cell_length_b 5.2167
_cell_length_c 4.8321
_cell_angle_alpha 90.00
_cell_angle_beta 90.00
_cell_angle_gamma 90.00
loop_
_atom_site_label
_atom_site_type_symbol
_atom_site_fract_x
_atom_site_fract_y
_atom_site_fract_z
Ta1 Ta 0.0000 0.0000 0.0000
Hg1 Hg 0.0000 0.5000 0.5000
Rh1 Rh 0.5000 0.5000 0.5000
Br1 Br 0.5000 0.5000 0.0000
```